Record 1
# ZrHgIr3, relaxed, DFT PBE
# M_tot (μB/f.u.): 0.00
# ΔE_f (eV/atom): 1.7812
# Relative energy among the computed polymorphs (meV per atom): 276
data_ZrHgIr3
_chemical_formula_sum 'Zr1 Hg1 Ir3'
_symmetry_space_group_name_H-M 'P 1'
_symmetry_Int_Tables_number 1
_symmetry_space_group_name_Hall 'P 1'
_cell_length_a 4.846
_cell_length_b 4.846
_cell_length_c 4.846
_cell_angle_alpha 90.00
_cell_angle_beta 90.00
_cell_angle_gamma 90.00
loop_
_atom_site_label
_atom_site_type_symbol
_atom_site_fract_x
_atom_site_fract_y
_atom_site_fract_z
Zr1 Zr 0.500 0.500 0.500
Hg1 Hg 0.000 0.000 0.000
Ir1 Ir 0.000 0.000 0.500
Ir2 Ir 0.500 0.000 0.000
Ir3 Ir 0.000 0.500 0.000

***

Record 2
# TaNbPd6, relaxed, DFT PBE
# M_tot (μB/f.u.): 0.00
# ΔE_f (eV/atom): -0.1235
# Relative energy among the computed polymorphs (meV per atom): 231
data_TaNbPd6
_chemical_formula_sum 'Ta1 Nb1 Pd6'
_symmetry_space_group_name_H-M 'P 1'
_symmetry_Int_Tables_number 1
_symmetry_space_group_name_Hall 'P 1'
_cell_length_a 5.250
_cell_length_b 5.250
_cell_length_c 7.630
_cell_angle_alpha 110.13
_cell_angle_beta 110.13
_cell_angle_gamma 119.78
loop_
_atom_site_label
_atom_site_type_symbol
_atom_site_fract_x
_atom_site_fract_y
_atom_site_fract_z
Nb1 Nb 0.500 0.500 0.500
Pd1 Pd 0.698 0.253 0.249
Pd2 Pd 0.195 0.195 0.751
Pd3 Pd 0.747 0.302 0.751
Pd4 Pd 0.253 0.698 0.249
Pd5 Pd 0.805 0.805 0.249
Pd6 Pd 0.302 0.747 0.751
Ta1 Ta 0.000 0.000 0.000

***

Record 3
# Er3Tm2Mg8, relaxed, DFT PBE
# M_tot (μB/f.u.): 0.00
# ΔE_f (eV/atom): 0.1381
data_Er3Tm2Mg8
_chemical_formula_sum 'Er3 Tm2 Mg8'
_symmetry_space_group_name_H-M 'P 1'
_symmetry_Int_Tables_number 1
_symmetry_space_group_name_Hall 'P 1'
_cell_length_a 5.816
_cell_length_b 5.816
_cell_length_c 12.669
_cell_angle_alpha 76.73
_cell_angle_beta 76.73
_cell_angle_gamma 60.00
loop_
_atom_site_label
_atom_site_type_symbol
_atom_site_fract_x
_atom_site_fract_y
_atom_site_fract_z
Mg1 Mg 0.275 0.275 0.175
Mg2 Mg 0.230 0.730 0.310
Mg3 Mg 0.270 0.270 0.690
Mg4 Mg 0.270 0.770 0.690
Mg5 Mg 0.725 0.725 0.825
Mg6 Mg 0.730 0.230 0.310
Mg7 Mg 0.730 0.730 0.310
Mg8 Mg 0.770 0.270 0.690
Tm1 Tm 0.640 0.640 0.079
Tm2 Tm 0.360 0.360 0.921
Er1 Er 0.000 0.000 0.000
Er2 Er 0.817 0.817 0.550
Er3 Er 0.183 0.183 0.450

***

Record 4
# Pm4Rh2N, relaxed, DFT PBE
# M_tot (μB/f.u.): 0.00
# Energy relative to the elements, uncorrected (meV/atom): -785
# Relative energy among the computed polymorphs (meV per atom): 0
data_Pm4Rh2N
_chemical_formula_sum 'Pm4 Rh2 N1'
_symmetry_space_group_name_H-M 'P 1'
_symmetry_Int_Tables_number 1
_symmetry_space_group_name_Hall 'P 1'
_cell_length_a 3.701
_cell_length_b 8.152
_cell_length_c 7.194
_cell_angle_alpha 128.59
_cell_angle_beta 104.91
_cell_angle_gamma 90.00
loop_
_atom_site_label
_atom_site_type_symbol
_atom_site_fract_x
_atom_site_fract_y
_atom_site_fract_z
Rh1 Rh 0.622 0.553 0.243
Rh2 Rh 0.378 0.447 0.757
Pm1 Pm 0.656 0.247 0.313
Pm2 Pm 0.922 0.210 0.844
Pm3 Pm 0.078 0.790 0.156
Pm4 Pm 0.344 0.753 0.687
N1 N 0.000 0.000 0.000